This record from Alexandria describes NdMn4Al8 after structural relaxation. The functional is PBE.

Cell lengths 6.735, 6.735, 6.735 Å; angles 97.77, 97.77, 136.86 degrees
Fractional coordinates of all 13 atoms:
Nd (0.000, 0.000, 0.000)
Mn (0.000, 0.000, 0.500)
Mn (0.000, 0.500, 0.000)
Mn (0.500, 0.000, 0.000)
Mn (0.500, 0.500, 0.500)
Al (0.000, 0.344, 0.344)
Al (0.000, 0.656, 0.656)
Al (0.279, 0.500, 0.779)
Al (0.344, 0.000, 0.344)
Al (0.500, 0.279, 0.779)
Al (0.500, 0.721, 0.221)
Al (0.656, 0.000, 0.656)
Al (0.721, 0.500, 0.221)

Results
VASP energy	-0.213	hartree per atom
formation energy from the elements	-0.309	eV/atom
total magnetic moment	0.0002	μB/atom
volume	194.30	Å³ per cell